(1)
Pm4Sn5O: relaxed, PBE-GGA.

Cell and atoms, written as POSCAR:
```
Pm4Sn5O
1.0
3.7821 0.0000 0.0000
0.0000 8.1807 -0.9952
-1.8911 -3.1783 9.2309
Pm Sn O
4 5 1
direct
0.6635 0.0996 0.3269
0.0152 0.2090 0.0304
0.3365 0.9004 0.6731
0.9848 0.7910 0.9696
0.1878 0.4585 0.3755
0.1489 0.7658 0.2979
0.8511 0.2342 0.7021
0.5000 0.5000 0.0000
0.8122 0.5415 0.6245
0.5000 0.0000 0.0000
```

Properties
space group	C2/m (12)
ρ	7.2	g/cm3
raw formation energy	-0.8327	eV/atom
VASP energy	-5.230	eV per atom
crystal system	monoclinic

---

(2)
SrCo2MoRh: relaxed, PBE-GGA.

Cell and atoms, written as POSCAR:
```
SrCo2MoRh
1.0
4.7733 0.0000 0.0000
0.0000 4.7070 0.0000
0.0000 0.0000 4.7733
Sr Mo Rh Co
1 1 1 2
direct
0.5000 0.5000 0.5000
0.0000 0.5000 0.0000
0.0000 0.0000 0.0000
0.0000 0.0000 0.5000
0.5000 0.0000 0.0000
```

Properties
space group	P4/mmm (123)
ρ	6.3	g/cm3
VASP energy	-5.881	eV per atom
calculated formation energy	0.9338	eV/atom
crystal system	tetragonal